PBE-GGA AlGaTe3, optimized geometry; M_tot = 0.000 μB per atom; energy above the lowest structure with this stoichiometry = 32 meV per atom; formation energy from raw total energies = -0.2545 eV/atom
1.0
-2.2920 2.3658 -2.4403
1.9983 -4.5048 -6.2442
-8.6838 -4.8840 3.4211
Te Ga Al
6 2 2
Cartesian
-8.3917 -5.2319 1.0877
-2.4531 -3.6227 -2.9298
-6.5243 -3.4002 -2.3336
-5.3070 -5.2936 -5.3126
-3.6705 -1.7293 0.0492
-0.5858 -1.7910 -6.3511
-0.5401 -4.0761 -5.1662
-8.4374 -2.9468 -0.0973
-4.5243 -5.3742 -2.6825
-4.4531 -1.6487 -2.5809

PBE-GGA Al2GaTe, optimized geometry; N(E_F) = 1.8 states/eV/cell; M_tot = 0.000 μB per atom; energy above the lowest structure with this stoichiometry = 176 meV per atom; formation energy from raw total energies = 0.2217 eV/atom
1.0
-0.3783 -3.9160 2.9460
-4.4179 -1.4815 1.5633
-1.9358 -4.1824 -1.7080
Ga Te Al
1 1 2
Cartesian
0.0000 0.0000 0.0000
-3.3660 -4.7900 1.4007
-5.0490 -7.1849 2.1010
-1.6830 -2.3950 0.7003

PBE-GGA AlGa3Te, optimized geometry; N(E_F) = 4.3 states/eV/cell; M_tot = 0.000 μB per atom; energy above the lowest structure with this stoichiometry = 643 meV per atom; formation energy from raw total energies = 0.7776 eV/atom
1.0
5.5647 0.0000 0.0000
0.0000 5.5647 0.0000
0.0000 0.0000 5.5647
Ga Al Te
3 1 1
Cartesian
0.0000 2.7824 0.0000
0.0000 0.0000 2.7824
2.7824 0.0000 0.0000
2.7824 2.7824 2.7824
0.0000 0.0000 0.0000

PBE-GGA Al4GaTe7, optimized geometry; N(E_F) = 6.3 states/eV/cell; M_tot = 0.000 μB per atom; formation energy from raw total energies = -0.3002 eV/atom
1.0
7.0254 0.0000 0.0000
0.0000 7.4938 0.0000
0.0000 0.0000 15.5431
Te Al Ga
14 8 2
Cartesian
3.2744 2.5348 6.0165
6.8013 1.2577 11.9638
6.6086 1.0483 7.7715
3.2353 2.5690 13.7911
6.8013 1.2577 3.5793
3.2886 6.2361 4.1922
6.7480 4.9248 6.0196
3.2353 2.5690 1.7519
3.2886 6.2361 11.3509
6.7480 4.9248 9.5235
6.7871 4.9590 1.7551
6.7871 4.9590 13.7880
3.0959 6.4455 0.0000
3.2744 2.5348 9.5266
4.1063 1.2749 11.6742
0.5936 6.2189 11.6405
4.1437 5.0626 13.6239
0.6310 2.4312 5.8524
4.1063 1.2749 3.8689
0.5936 6.2189 3.9026
0.6310 2.4312 9.6907
4.1437 5.0626 1.9192
0.5350 2.3078 0.0000
4.0477 5.1860 7.7715

PBE-GGA AlGaTe3, optimized geometry; M_tot = 0.000 μB per atom; energy above the lowest structure with this stoichiometry = 0 meV per atom; formation energy from raw total energies = -0.2868 eV/atom
1.0
-2.4713 2.2801 -2.2741
1.2052 -6.1376 -3.8407
-9.2537 -3.9675 6.0779
Te Al Ga
6 2 2
Cartesian
-6.8868 -4.1226 3.3503
-0.6205 -1.6925 -1.0227
-9.8992 -6.1324 0.9858
-5.5725 -5.9316 0.1083
-4.9472 -1.8934 -0.1452
-3.6329 -3.7023 -3.3872
-0.9742 -3.7760 -2.7274
-9.5456 -4.0489 2.6906
-7.8970 -5.9548 -1.0119
-2.6228 -1.8701 0.9750

PBE-GGA AlGa3Te, optimized geometry; N(E_F) = 1.2 states/eV/cell; M_tot = 0.000 μB per atom; energy above the lowest structure with this stoichiometry = 0 meV per atom; formation energy from raw total energies = 0.1349 eV/atom
1.0
-1.1733 4.2820 2.3436
-4.1386 -2.1508 1.8577
2.5884 -1.4978 4.0325
Ga Te Al
3 1 1
Cartesian
1.2942 -0.7489 2.0162
-2.0693 -1.0754 0.9288
-0.5867 2.1410 1.1718
-1.3617 0.3167 4.1169
0.0000 0.0000 0.0000

PBE-GGA AlGaTe2, optimized geometry; M_tot = 0.000 μB per atom; formation energy from raw total energies = -0.3165 eV/atom
1.0
4.2663 0.0000 0.0000
0.0000 6.8601 0.0000
0.0000 0.0000 16.6675
Te Al Ga
8 4 4
Cartesian
3.1997 0.5737 2.8808
3.1997 6.2863 9.8572
1.0666 0.5738 6.8103
3.1997 2.8562 15.1441
1.0666 2.8564 11.2146
1.0666 6.2864 13.7867
1.0666 4.0039 1.5234
3.1997 4.0037 5.4529
3.1997 4.7827 2.9248
3.1997 1.3527 5.4090
1.0666 5.5075 11.2585
1.0666 2.0774 13.7427
3.1997 2.4373 9.1340
1.0666 0.9927 0.8003
3.1997 5.8674 15.8672
1.0666 4.4228 7.5335

PBE-GGA AlGaTe3, optimized geometry; N(E_F) = 3.1 states/eV/cell; M_tot = 0.000 μB per atom; energy above the lowest structure with this stoichiometry = 413 meV per atom; formation energy from raw total energies = 0.1259 eV/atom
1.0
-3.4420 2.5166 3.2850
1.8173 -2.9194 4.1407
3.7177 3.7570 1.0172
Te Ga Al
3 1 1
Cartesian
-1.7210 1.2583 1.6425
0.9087 -1.4597 2.0704
1.8589 1.8785 0.5086
1.0465 1.6771 4.2214
0.0000 0.0000 0.0000